Entry 1:
Computed, not measured: a relaxed structure of Li2ZrF6 at the PBE level of DFT.

Output
space-group type = P4_2/mnm, No. 136
polymorph energy (0 for the lowest one) = 13 meV/atom
E_tot = -0.4415 Ry/atom
formation energy (no corrections) = -3384 meV/atom
calculated density = 3.30 g cm⁻³

a b c (Å): 4.848 4.848 9.382
angles (deg): 90.00 90.00 90.00
Sites, in units of the cell vectors:
Li  0.000  0.000  0.161
Li  0.000  0.000  0.839
Li  0.500  0.500  0.339
Li  0.500  0.500  0.661
Zr  0.000  0.000  0.500
Zr  0.500  0.500  0.000
F  0.199  0.199  0.338
F  0.199  0.199  0.662
F  0.201  0.201  0.000
F  0.299  0.701  0.500
F  0.301  0.699  0.162
F  0.301  0.699  0.838
F  0.699  0.301  0.162
F  0.699  0.301  0.838
F  0.701  0.299  0.500
F  0.799  0.799  0.000
F  0.801  0.801  0.338
F  0.801  0.801  0.662

Entry 2:
Computed, not measured: a relaxed structure of Ac6In2RuO at the PBE level of DFT.

Output
space-group type = Pmmn, No. 59
E_tot = -0.3742 Ry/atom
formation energy (no corrections) = -655 meV/atom
calculated density = 8.17 g cm⁻³

a b c (Å): 7.896 11.147 7.895
angles (deg): 90.00 90.00 90.00
Sites, in units of the cell vectors:
Ac  0.006  0.250  0.006
Ac  0.006  0.250  0.493
Ac  0.250  0.008  0.250
Ac  0.250  0.492  0.250
Ac  0.494  0.250  0.006
Ac  0.494  0.250  0.493
Ac  0.506  0.750  0.507
Ac  0.506  0.750  0.994
Ac  0.750  0.508  0.750
Ac  0.750  0.992  0.750
Ac  0.994  0.750  0.507
Ac  0.994  0.750  0.994
In  0.250  0.000  0.750
In  0.250  0.500  0.750
In  0.750  0.000  0.250
In  0.750  0.500  0.250
Ru  0.250  0.750  0.250
Ru  0.750  0.250  0.750
O  0.250  0.250  0.249
O  0.750  0.750  0.751

Entry 3:
Computed, not measured: a relaxed structure of NaGaTeI2 at the PBE level of DFT.

Output
space-group type = P4/mmm, No. 123
polymorph energy (0 for the lowest one) = 342 meV/atom
E_tot = -0.1560 Ry/atom
formation energy (no corrections) = -5 meV/atom
calculated density = 3.75 g cm⁻³

a b c (Å): 6.030 6.030 5.776
angles (deg): 90.00 90.00 90.00
Sites, in units of the cell vectors:
Na  0.000  0.000  0.000
Ga  0.500  0.500  0.500
Te  0.000  0.000  0.500
I  0.000  0.500  0.000
I  0.500  0.000  0.000

Entry 4:
Computed, not measured: a relaxed structure of PrHo2Rh at the PBE level of DFT.

Output
space-group type = R3m, No. 160
polymorph energy (0 for the lowest one) = 121 meV/atom
calculated formation energy = -0.37 eV/atom
E_tot = -0.4187 Ry/atom
calculated density = 7.98 g cm⁻³

a b c (Å): 3.894 3.894 27.278
angles (deg): 90.00 90.00 120.00
Sites, in units of the cell vectors:
Pr  0.000  0.000  0.000
Pr  0.333  0.667  0.667
Pr  0.667  0.333  0.333
Ho  0.000  0.000  0.226
Ho  0.000  0.000  0.445
Ho  0.333  0.667  0.112
Ho  0.333  0.667  0.892
Ho  0.667  0.333  0.559
Ho  0.667  0.333  0.778
Rh  0.000  0.000  0.835
Rh  0.333  0.667  0.502
Rh  0.667  0.333  0.169

Entry 5:
Computed, not measured: a relaxed structure of Rb2ScNiAs at the PBE level of DFT.

Output
space-group type = P4/mmm, No. 123
calculated formation energy = 0.54 eV/atom
E_tot = -0.2349 Ry/atom
calculated density = 2.86 g cm⁻³

a b c (Å): 6.850 6.850 4.320
angles (deg): 90.00 90.00 90.00
Sites, in units of the cell vectors:
Rb  0.000  0.500  0.000
Rb  0.500  0.000  0.000
Sc  0.000  0.000  0.500
Ni  0.500  0.500  0.500
As  0.500  0.500  0.000

Entry 6:
Computed, not measured: a relaxed structure of Dy2GaNi5Rh2 at the PBE level of DFT.

Output
space-group type = P4/mbm, No. 127
calculated formation energy = -0.32 eV/atom
E_tot = -0.4342 Ry/atom
calculated density = 9.60 g cm⁻³

a b c (Å): 9.073 9.073 3.758
angles (deg): 90.00 90.00 90.00
Sites, in units of the cell vectors:
Dy  0.169  0.331  0.000
Dy  0.331  0.831  0.000
Dy  0.669  0.169  0.000
Dy  0.831  0.669  0.000
Ga  0.000  0.000  0.000
Ga  0.500  0.500  0.000
Ni  0.000  0.500  0.500
Ni  0.058  0.810  0.500
Ni  0.190  0.058  0.500
Ni  0.310  0.558  0.500
Ni  0.442  0.310  0.500
Ni  0.500  0.000  0.500
Ni  0.558  0.690  0.500
Ni  0.690  0.442  0.500
Ni  0.810  0.942  0.500
Ni  0.942  0.190  0.500
Rh  0.131  0.631  0.000
Rh  0.369  0.131  0.000
Rh  0.631  0.869  0.000
Rh  0.869  0.369  0.000